1.
Compound: KMo4
Source: the Alexandria database
Functional: GGA-PBEsol
Structure: relaxed

a b c (Å): 4.918 4.918 4.918
angles (deg): 109.47 109.47 109.47
Atoms (fractional coordinates):
Mo1 0.500 0.500 0.500
Mo2 0.000 0.000 0.500
Mo3 0.000 0.500 0.000
K1 0.000 0.000 0.000
Mo4 0.500 0.000 0.000

## Properties
**Magnetization**: 0.0 μB/cell
**Formation enthalpy at 0 K**: 3.092 eV per atom
**E_tot**: -32.74 eV for the cell shown
**DOS at the Fermi energy**: 1.298 states/eV/atom

2.
Compound: RbAl3Ag
Source: the Alexandria database
Functional: GGA-PBEsol
Structure: relaxed

a b c (Å): 5.052 5.052 5.052
angles (deg): 90.00 90.00 90.00
Atoms (fractional coordinates):
Al1 0.500 0.000 0.000
Rb1 0.500 0.500 0.500
Al2 0.000 0.000 0.500
Al3 0.000 0.500 0.000
Ag1 0.000 0.000 0.000

## Properties
**Magnetization**: 0.0 μB/cell
**Formation enthalpy at 0 K**: 0.446 eV per atom
**E_tot**: -14.38 eV for the cell shown
**DOS at the Fermi energy**: 0.562 states/eV/atom

3.
Compound: SrNiCl
Source: the Alexandria database
Functional: GGA-PBEsol
Structure: relaxed

a b c (Å): 4.609 4.609 4.609
angles (deg): 60.00 60.00 60.00
Atoms (fractional coordinates):
Sr1 0.000 0.000 0.000
Ni1 0.750 0.750 0.750
Cl1 0.500 0.500 0.500

## Properties
**Magnetization**: 0.0 μB/cell
**Formation energy from raw total energies**: -0.54 eV per formula unit
**E_tot**: -10.54 eV for the cell shown
**DOS at the Fermi energy**: 0.880 states/eV/atom

4.
Compound: TaTl2Fe
Source: the Alexandria database
Functional: GGA-PBEsol
Structure: relaxed

a b c (Å): 4.732 4.732 4.732
angles (deg): 60.00 60.00 60.00
Atoms (fractional coordinates):
Ta1 0.750 0.750 0.750
Tl1 0.250 0.250 0.250
Tl2 0.000 0.000 0.000
Fe1 0.500 0.500 0.500

## Properties
**Magnetization**: 1.0 μB/cell
**Formation enthalpy at 0 K**: 0.895 eV per atom
**E_tot**: -23.19 eV for the cell shown
**DOS at the Fermi energy**: 0.833 states/eV/atom